Here is an optimized crystal structure of ZnAg2Rh from Alexandria via LeMat-Bulk. Energies are from GGA-PBEsol.

Summary:
* crystal system: cubic
* formation energy: -0.016 eV/f.u.

Unit cell a=4.3804 b=4.3804 c=4.3804 alpha=60.00 beta=60.00 gamma=60.00
Positions (direct):
1 Ag 0.0000 0.0000 0.0000
2 Rh 0.5000 0.5000 0.5000
3 Zn 0.7500 0.7500 0.7500
4 Ag 0.2500 0.2500 0.2500

Here is an optimized crystal structure of MgCrBr2 from Alexandria via LeMat-Bulk. Energies are from GGA-PBEsol.

Summary:
* crystal system: tetragonal
* uncorrected formation energy: -0.0821 eV/atom

Unit cell a=5.1269 b=5.1269 c=8.8226 alpha=106.89 beta=106.89 gamma=90.00
Positions (direct):
1 Cr 0.2500 0.7500 0.5000
2 Mg 0.7500 0.2500 0.5000
3 Br 0.8865 0.3750 0.2500
4 Mg 0.5000 0.5000 0.0000
5 Cr 0.0000 0.0000 0.0000
6 Br 0.6250 0.6365 0.7500
7 Br 0.1250 0.1135 0.7500
8 Br 0.3635 0.8750 0.2500

Here is an optimized crystal structure of CaMgCd from Alexandria via LeMat-Bulk. Energies are from GGA-PBEsol.

Summary:
* crystal system: tetragonal
* formation energy: -0.622 eV/f.u.

Unit cell a=3.6457 b=3.6457 c=6.3451 alpha=106.70 beta=106.70 gamma=90.00
Positions (direct):
1 Ca 0.9920 0.9920 0.9839
2 Cd 0.3185 0.3185 0.6370
3 Mg 0.6896 0.6896 0.3791

Raw total energy, record by record: -4.09; -4.01; -1.89 eV per atom